Entry 1:
The following is a DFT calculation (GGA-PBEsol) of a geometry-optimized MnBrN2F structure.

Unit cell a=3.8779 b=3.8779 c=4.2448 alpha=90.00 beta=90.00 gamma=90.00
Each line ends with the local moment (μB).
Sites, in units of the cell vectors:
F 0.0000 0.0000 0.5000  0.04
Mn 0.5000 0.5000 0.5000  4.52
N 0.5000 0.0000 0.0000  -0.01
N 0.0000 0.5000 0.0000  -0.01
Br 0.0000 0.0000 0.0000  0.04

Values from the calculation:
electronic total energy: -4.670 eV per atom
space group: P4/mmm
energy relative to the elements, uncorrected: 1.4525 eV/atom

Entry 2:
The following is a DFT calculation (GGA-PBEsol) of a geometry-optimized CuNi2Rh structure.

Unit cell a=2.5786 b=4.3516 c=4.3823 alpha=100.39 beta=107.11 gamma=90.00
Each line ends with the local moment (μB).
Sites, in units of the cell vectors:
Ni 0.2505 0.2522 0.5010  0.65
Ni 0.7495 0.7478 0.4990  0.65
Cu 0.0000 0.5000 0.0000  0.07
Rh 0.5000 0.0000 0.0000  0.54

Values from the calculation:
electronic total energy: -6.121 eV per atom
space group: C2/m
energy of formation from the pure elements: 0.0756 eV per atom

Entry 3:
The following is a DFT calculation (GGA-PBEsol) of a geometry-optimized CuAsO3 structure.

Unit cell a=3.2086 b=4.7817 c=8.2659 alpha=90.00 beta=90.00 gamma=90.00
Sites, in units of the cell vectors:
As 0.5000 0.0721 0.2500
As 0.5000 0.9279 0.7500
O 0.0000 0.8875 0.2500
O 0.5000 0.7063 0.9181
O 0.0000 0.1125 0.7500
O 0.5000 0.2937 0.4181
O 0.5000 0.7063 0.5819
O 0.5000 0.2937 0.0819
Cu 0.0000 0.5000 0.0000
Cu 0.0000 0.5000 0.5000

Values from the calculation:
electronic total energy: -5.870 eV per atom
space group: Pmma
energy relative to the elements, uncorrected: -0.8322 eV/atom

Entry 4:
The following is a DFT calculation (GGA-PBEsol) of a geometry-optimized ScB2I structure.

Unit cell a=5.6580 b=5.6580 c=5.6580 alpha=81.96 beta=64.53 gamma=115.47
Sites, in units of the cell vectors:
I 0.0000 0.0000 0.0000
I 0.5000 0.2500 0.2500
B 0.0281 0.1250 0.3469
B 0.4719 0.3469 0.6250
B 0.9719 0.6250 0.9031
B 0.5281 0.9031 0.1250
Sc 0.5000 0.7500 0.7500
Sc 0.0000 0.5000 0.5000

Values from the calculation:
electronic total energy: -4.517 eV per atom
space group: I-42d
energy relative to the elements, uncorrected: 1.0847 eV/atom

Entry 5:
The following is a DFT calculation (GGA-PBEsol) of a geometry-optimized Li4V5Fe3O16 structure.

Unit cell a=5.5265 b=5.5913 c=9.4629 alpha=90.00 beta=90.24 gamma=59.61
Each line ends with the local moment (μB).
Sites, in units of the cell vectors:
O 0.5169 0.5185 0.3459  -0.01
O 0.1680 0.6646 0.1028  -0.03
O 0.5171 0.9646 0.3459  -0.01
O 0.9568 0.5217 0.3401  -0.01
O 0.1680 0.1677 0.1029  -0.03
O 0.8282 0.8345 0.6034  -0.05
O 0.6693 0.6655 0.0897  0.03
O 0.6547 0.1728 0.1031  -0.04
O 0.4848 0.0356 0.8462  -0.01
O 0.8282 0.3370 0.6033  -0.05
O 0.4849 0.4795 0.8461  -0.01
O 0.9928 0.0034 0.8022  0.00
O 0.3400 0.8298 0.6040  -0.03
O 0.3225 0.3386 0.5862  -0.01
O 0.9987 0.0008 0.2999  0.00
O 0.0380 0.4808 0.8436  0.02
Fe 0.8213 0.8224 0.2119  0.74
Fe 0.6325 0.1836 0.7107  0.03
Fe 0.8213 0.3566 0.2119  0.75
V 0.3358 0.3323 0.0007  0.89
V 0.1902 0.6381 0.7154  0.81
V 0.3767 0.8118 0.2176  -0.09
V 0.6798 0.6599 0.4940  1.13
V 0.1903 0.1713 0.7154  0.81
Li 0.6711 0.6644 0.8932  0.00
Li 0.9920 0.0042 0.9936  0.00
Li 0.3314 0.3343 0.3880  0.00
Li 0.9887 0.0054 0.4902  0.00

Values from the calculation:
electronic total energy: -8.015 eV per atom
space group: Cm
energy relative to the elements, uncorrected: -2.0538 eV/atom

Entry 6:
The following is a DFT calculation (GGA-PBEsol) of a geometry-optimized ZrBeAs2 structure.

Unit cell a=2.8977 b=4.9131 c=4.9018 alpha=94.24 beta=107.19 gamma=90.00
Sites, in units of the cell vectors:
As 0.2387 0.2538 0.4775
As 0.7613 0.7462 0.5225
Zr 0.5000 0.0000 0.0000
Be 0.0000 0.5000 0.0000

Values from the calculation:
electronic total energy: -5.837 eV per atom
space group: C2/m
energy of formation from the pure elements: -0.0116 eV per atom

Entry 7:
The following is a DFT calculation (GGA-PBEsol) of a geometry-optimized LiIn structure.

Unit cell a=3.1549 b=3.1549 c=10.2989 alpha=90.00 beta=90.00 gamma=120.00
Sites, in units of the cell vectors:
Li 0.3333 0.6667 0.1782
Li 0.6667 0.3333 0.6782
In 0.6667 0.3333 0.9508
In 0.3333 0.6667 0.4508

Values from the calculation:
electronic total energy: -2.558 eV per atom
space group: P6_3mc
energy of formation from the pure elements: -0.0837 eV per atom

Entry 8:
The following is a DFT calculation (GGA-PBEsol) of a geometry-optimized Li2SiAg structure.

Unit cell a=2.7318 b=4.3853 c=4.8860 alpha=90.00 beta=90.00 gamma=90.00
Sites, in units of the cell vectors:
Ag 0.5000 0.5000 0.2338
Li 0.0000 0.5000 0.7153
Li 0.0000 0.0000 0.0270
Si 0.5000 0.0000 0.5239

Values from the calculation:
electronic total energy: -3.435 eV per atom
space group: Pmm2
energy relative to the elements, uncorrected: -0.1874 eV/atom

Entry 9:
The following is a DFT calculation (GGA-PBEsol) of a geometry-optimized MgReSbI2 structure.

Unit cell a=5.0737 b=5.5128 c=5.5128 alpha=90.00 beta=90.00 gamma=90.00
Each line ends with the local moment (μB).
Sites, in units of the cell vectors:
Re 0.0000 0.0000 0.0000  1.12
Mg 0.5000 0.5000 0.5000  0.00
Sb 0.5000 0.0000 0.0000  -0.05
I 0.0000 0.0000 0.5000  0.05
I 0.0000 0.5000 0.0000  0.05

Values from the calculation:
electronic total energy: -3.964 eV per atom
space group: P4/mmm
energy relative to the elements, uncorrected: 0.6641 eV/atom

Entry 10:
The following is a DFT calculation (GGA-PBEsol) of a geometry-optimized Pr3Y structure.

Unit cell a=5.8492 b=7.2473 c=7.2473 alpha=120.00 beta=90.00 gamma=90.00
Sites, in units of the cell vectors:
Pr 0.2500 0.1670 0.3340
Pr 0.7500 0.8330 0.6660
Pr 0.7500 0.8330 0.1670
Pr 0.2500 0.6660 0.8330
Pr 0.2500 0.1670 0.8330
Pr 0.7500 0.3340 0.1670
Y 0.2500 0.6667 0.3333
Y 0.7500 0.3333 0.6667

Values from the calculation:
electronic total energy: -5.569 eV per atom
space group: P6_3/mmc
energy of formation from the pure elements: 0.0252 eV per atom
energy above the most stable polymorph in this dataset: 23 meV/atom

Entry 11:
The following is a DFT calculation (GGA-PBEsol) of a geometry-optimized SrCaHgOs2 structure.

Unit cell a=5.0697 b=5.0697 c=5.3284 alpha=90.00 beta=90.00 gamma=90.00
Each line ends with the local moment (μB).
Sites, in units of the cell vectors:
Os 0.5000 0.0000 0.0000  0.76
Os 0.0000 0.5000 0.0000  0.76
Sr 0.0000 0.0000 0.5000  -0.02
Ca 0.5000 0.5000 0.5000  -0.01
Hg 0.0000 0.0000 0.0000  0.03

Values from the calculation:
electronic total energy: -4.157 eV per atom
space group: P4/mmm
energy of formation from the pure elements: 1.6372 eV per atom

Entry 12:
The following is a DFT calculation (GGA-PBEsol) of a geometry-optimized Ba2InSbSe5 structure.

Unit cell a=4.2849 b=9.7119 c=13.0370 alpha=90.00 beta=90.00 gamma=102.74
Sites, in units of the cell vectors:
Sb 0.2165 0.4331 0.4780
Sb 0.7835 0.5669 0.9780
Se 0.6447 0.2895 0.9987
Se 0.3553 0.7105 0.4987
Se 0.6903 0.3807 0.6337
Se 0.5037 0.0074 0.2253
Se 0.2837 0.5675 0.8361
Se 0.4963 0.9926 0.7253
Se 0.3097 0.6193 0.1337
Se 0.0468 0.0937 0.4385
Se 0.9532 0.9063 0.9385
Se 0.7163 0.4325 0.3361
Ba 0.1137 0.2274 0.8125
Ba 0.8863 0.7726 0.3125
Ba 0.8704 0.7408 0.6894
Ba 0.1296 0.2592 0.1894
In 0.5609 0.1217 0.5530
In 0.4391 0.8783 0.0530

Values from the calculation:
electronic total energy: -4.630 eV per atom
space group: Cmc2_1
energy relative to the elements, uncorrected: -1.1752 eV/atom